# 1
# TaTlIr, relaxed, DFT PBE
data_TaTlIr
_chemical_formula_sum 'Ta4 Tl4 Ir4'
_cell_length_a 6.3583
_cell_length_b 6.3583
_cell_length_c 6.3583
_cell_angle_alpha 90.00
_cell_angle_beta 90.00
_cell_angle_gamma 90.00
_symmetry_space_group_name_H-M 'F -4 3 m'
_symmetry_Int_Tables_number 216
_symmetry_space_group_name_Hall 'F -4 2 3'
loop_
_atom_site_label
_atom_site_type_symbol
_atom_site_fract_x
_atom_site_fract_y
_atom_site_fract_z
_atom_site_occupancy
Ta1 Ta 0.0000 0.0000 0.0000 1
Tl1 Tl 0.2500 0.2500 0.2500 1
Ir1 Ir 0.2500 0.2500 0.7500 1
# VASP energy   -85.4 eV for the cell shown
# Spin magnetization   0.0 μB per cell

# 2
# CsKPr, relaxed, DFT PBE
data_CsKPr
_chemical_formula_sum 'Cs4 K4 Pr4'
_cell_length_a 9.5077
_cell_length_b 9.5077
_cell_length_c 9.5077
_cell_angle_alpha 90.00
_cell_angle_beta 90.00
_cell_angle_gamma 90.00
_symmetry_space_group_name_H-M 'F -4 3 m'
_symmetry_Int_Tables_number 216
_symmetry_space_group_name_Hall 'F -4 2 3'
loop_
_atom_site_label
_atom_site_type_symbol
_atom_site_fract_x
_atom_site_fract_y
_atom_site_fract_z
_atom_site_occupancy
Cs1 Cs 0.0000 0.0000 0.0000 1
K1 K 0.2500 0.2500 0.7500 1
Pr1 Pr 0.2500 0.2500 0.2500 1
# Energy relative to the lowest polymorph listed for this composition   55 meV per atom
# VASP energy   -14.7 eV for the cell shown
# Spin magnetization   12.0 μB per cell